Material: CsCrAs2O7
Method: DFT, PBE+U
State: optimized geometry

## Properties
- E_tot: -6.289 eV/atom
- Total moment: 11.99 Bohr magnetons per cell
- Crystal system: monoclinic
- SG: P2_1/c, No. 14

a = 8.079 Å, b = 8.840 Å, c = 10.331 Å
α = 90.00°, β = 90.00°, γ = 106.19°
Each line ends with the local moment (μB).
Fractional coordinates of all 44 atoms:
Cs 0.320 0.454 0.806  0.00
Cs 0.680 0.046 0.306  0.00
Cs 0.680 0.546 0.194  0.00
Cs 0.320 0.954 0.694  0.00
Cr 0.740 0.766 0.601  2.94
Cr 0.260 0.734 0.101  2.94
Cr 0.260 0.234 0.399  2.94
Cr 0.740 0.266 0.899  2.94
As 0.930 0.687 0.869  0.01
As 0.070 0.813 0.369  0.01
As 0.070 0.313 0.131  0.01
As 0.930 0.187 0.631  0.01
As 0.634 0.840 0.909  0.01
As 0.366 0.660 0.409  0.01
As 0.366 0.160 0.091  0.01
As 0.634 0.340 0.591  0.01
O 0.796 0.505 0.898  0.00
O 0.204 0.995 0.398  0.00
O 0.204 0.495 0.102  0.00
O 0.796 0.005 0.602  0.00
O 0.136 0.723 0.925  -0.01
O 0.864 0.777 0.425  -0.01
O 0.864 0.277 0.075  -0.01
O 0.136 0.223 0.575  -0.01
O 0.942 0.753 0.712  -0.01
O 0.058 0.747 0.212  -0.01
O 0.058 0.247 0.288  -0.01
O 0.942 0.253 0.788  -0.01
O 0.836 0.814 0.964  0.00
O 0.164 0.686 0.464  0.00
O 0.164 0.186 0.036  0.00
O 0.836 0.314 0.536  0.00
O 0.647 0.032 0.917  0.00
O 0.353 0.468 0.417  0.00
O 0.353 0.968 0.083  0.00
O 0.647 0.532 0.583  0.00
O 0.481 0.722 0.006  -0.02
O 0.519 0.778 0.506  -0.02
O 0.519 0.278 0.994  -0.02
O 0.481 0.222 0.494  -0.02
O 0.594 0.757 0.758  -0.01
O 0.406 0.743 0.258  -0.01
O 0.406 0.243 0.242  -0.01
O 0.594 0.257 0.742  -0.01